A plane-wave DFT calculation with PBE was carried out for La3ZnGa after structural relaxation.

Cell: 6.9820 9.7899 9.7899 Å, 58.53 90.30 90.30°
Closest atoms and distances in Å follow each position.
Atoms (fractional coordinates):
1 La 0.5006 0.3115 0.8117  4 Ga 3.14, 2 La 3.37, 2 Zn 3.44-3.48
2 La 0.9994 0.1883 0.6885  4 Ga 3.14, 2 La 3.37, 2 Zn 3.44-3.48
3 La 0.4994 0.6885 0.1883  4 Ga 3.14, 2 La 3.37, 2 Zn 3.44-3.48
4 La 0.0006 0.8117 0.3115  4 Ga 3.14, 2 La 3.37, 2 Zn 3.44-3.48
5 La 0.9954 0.7845 0.9042  2 Ga 3.22-3.24, 2 La 3.22-3.37, 3 Zn 3.27-3.58
6 La 0.5046 0.0958 0.2155  2 Ga 3.22-3.24, 2 La 3.22-3.37, 3 Zn 3.27-3.58
7 La 0.0046 0.2155 0.0958  2 Ga 3.22-3.24, 2 La 3.22-3.37, 3 Zn 3.27-3.58
8 La 0.4954 0.9042 0.7845  2 Ga 3.22-3.24, 2 La 3.22-3.37, 3 Zn 3.27-3.58
9 La 0.4975 0.2850 0.4036  2 La 3.22-3.37, 2 Ga 3.23, 3 Zn 3.28-3.59
10 La 0.0025 0.5964 0.7150  2 La 3.22-3.37, 2 Ga 3.23, 3 Zn 3.28-3.59
11 La 0.5025 0.7150 0.5964  2 La 3.22-3.37, 2 Ga 3.23, 3 Zn 3.28-3.59
12 La 0.9975 0.4036 0.2850  2 La 3.22-3.37, 2 Ga 3.23, 3 Zn 3.28-3.59
13 Zn 0.6824 0.4984 0.9998  1 Zn 2.55
14 Zn 0.8176 0.0002 0.5016  1 Zn 2.55
15 Zn 0.3176 0.5016 0.0002  1 Zn 2.55
16 Zn 0.1824 0.9998 0.4984  1 Zn 2.55
17 Ga 0.2500 0.0000 0.0000  8 La 3.14-3.24, 2 Ga 3.49
18 Ga 0.7500 0.0000 0.0000  8 La 3.14-3.24, 2 Ga 3.49
19 Ga 0.2500 0.5002 0.4998  8 La 3.14-3.23, 2 Ga 3.49
20 Ga 0.7500 0.4998 0.5002  8 La 3.14-3.23, 2 Ga 3.49

Results
energy above the most stable polymorph in this dataset	0.0203	eV/atom
M_tot	0.00	μB/cell
final energy	-4.145	eV/atom
ΔH_f (0 K)	-0.33	eV per atom